(1)
First-principles (PBE-GGA) data for Na3Hf2AgSe6 after structural relaxation, as listed in the Alexandria database.

a b c (Å): 6.9055 11.9712 7.3211
angles (deg): 90.00 108.46 90.00
Space group C2/m (No. 12)
Inequivalent atoms, fractional coordinates:
Na 0.0000 0.0000 0.0000 [2 per cell]
Na 0.0000 0.3433 0.0000 [4 per cell]
Hf 0.0000 0.1690 0.5000 [4 per cell]
Ag 0.0000 0.5000 0.5000 [2 per cell]
Se 0.2154 0.0000 0.7193 [4 per cell]
Se 0.2454 0.1794 0.2776 [8 per cell]

Computed properties:
The calculation puts the total magnetic moment at 0.00 μB per formula unit. As for the uncorrected formation energy: -1.134 eV per atom.

---

(2)
First-principles (PBE-GGA) data for CrTe3 after structural relaxation, as listed in the Alexandria database.

a b c (Å): 5.3246 3.9596 5.7637
angles (deg): 90.00 117.03 90.00
Space group P2/m (No. 10)
Inequivalent atoms, fractional coordinates:
Cr 0.0000 0.0000 0.0000 [1 per cell]
Te 0.1800 0.5000 0.3609 [2 per cell]
Te 0.5000 0.0000 0.0000 [1 per cell]

Computed properties:
The calculation puts the total magnetic moment at 2.40 μB per formula unit. As for the uncorrected formation energy: -0.014 eV per atom.

---

(3)
First-principles (PBE-GGA) data for TaPI2 after structural relaxation, as listed in the Alexandria database.

a b c (Å): 7.0084 7.0084 7.0084
angles (deg): 90.00 90.00 90.00
Space group Fm-3m (No. 225)
Inequivalent atoms, fractional coordinates:
Ta 0.0000 0.0000 0.0000 [4 per cell]
P 0.0000 0.0000 0.5000 [4 per cell]
I 0.2500 0.2500 0.2500 [8 per cell]

Computed properties:
The calculation puts the total magnetic moment at 0.00 μB per formula unit. Its distance to the lowest polymorph of the same formula is 752 meV/atom. As for the uncorrected formation energy: 0.914 eV per atom.

---

(4)
First-principles (PBE-GGA) data for Y6Ag5Pt after structural relaxation, as listed in the Alexandria database.

a b c (Å): 5.0993 15.3896 7.2455
angles (deg): 90.00 90.00 90.00
Space group Cmmm (No. 65)
Inequivalent atoms, fractional coordinates:
Y 0.0000 0.0000 0.2392 [4 per cell]
Y 0.0000 0.3389 0.2459 [8 per cell]
Ag 0.0000 0.1672 0.5000 [4 per cell]
Ag 0.0000 0.1748 0.0000 [4 per cell]
Ag 0.0000 0.5000 0.5000 [2 per cell]
Pt 0.0000 0.5000 0.0000 [2 per cell]

Computed properties:
The calculation puts the total magnetic moment at 0.00 μB per formula unit. The energy relative to the elements is -0.488 eV per atom.

---

Which formula does entry 2 have?
CrTe3

---

Look up the total magnetic moment of the fourth one.
0.00 μB per formula unit